(1)
! PBE Dy2Er4TmMg, relaxed; values from VASP
&SYSTEM
  ibrav = 0, nat = 8, ntyp = 4
/
ATOMIC_SPECIES
Dy 162.50 Dy.upf
Er 167.26 Er.upf
Tm 168.93 Tm.upf
Mg 24.30 Mg.upf
CELL_PARAMETERS angstrom
-2.1099 -3.4659 -2.7666
4.2219 -0.6094 -2.4563
7.0225 -7.5104 4.0532
ATOMIC_POSITIONS crystal
Dy 0.0000 0.0000 0.0000
Dy 0.5000 0.0000 0.5000
Er 0.0000 0.7495 0.7505
Er 0.0000 0.2505 0.2495
Er 0.5000 0.7501 0.2496
Er 0.5000 0.2499 0.7504
Tm 0.0000 0.5000 0.5000
Mg 0.5000 0.5000 0.0000
! - Calculated density: 8.25 g cm⁻³
! - Space group: No. 10
! - E_form: 26 meV per atom
! - Calculated total energy: -4.16 eV per atom



(2)
! PBE In2GaS5, relaxed; values from VASP
&SYSTEM
  ibrav = 0, nat = 16, ntyp = 3
/
ATOMIC_SPECIES
In 114.82 In.upf
Ga 69.72 Ga.upf
S 32.06 S.upf
CELL_PARAMETERS angstrom
5.4007 0.0000 0.0000
-2.7004 6.3155 0.0000
0.0000 0.0000 11.2651
ATOMIC_POSITIONS crystal
In 0.8471 0.6942 0.4344
In 0.8471 0.6942 0.0656
In 0.1529 0.3058 0.5656
In 0.1529 0.3058 0.9344
Ga 0.7865 0.5729 0.7500
Ga 0.2135 0.4271 0.2500
S 0.9570 0.9140 0.8676
S 0.9570 0.9140 0.6324
S 0.3188 0.6376 0.4206
S 0.3188 0.6376 0.0794
S 0.7300 0.4600 0.2500
S 0.2700 0.5400 0.7500
S 0.6812 0.3624 0.5794
S 0.6812 0.3624 0.9206
S 0.0430 0.0860 0.1324
S 0.0430 0.0860 0.3676
! - Calculated density: 3.97 g cm⁻³
! - Space group: No. 63
! - Raw formation energy: -0.315 eV/atom
! - Calculated total energy: -3.96 eV per atom



(3)
! PBE SrTb2Dy3Te6, relaxed; values from VASP
&SYSTEM
  ibrav = 0, nat = 12, ntyp = 4
/
ATOMIC_SPECIES
Sr 87.62 Sr.upf
Tb 158.93 Tb.upf
Dy 162.50 Dy.upf
Te 127.60 Te.upf
CELL_PARAMETERS angstrom
4.4154 0.0000 0.0000
0.0000 8.8541 0.2793
-2.2077 -2.5948 9.2748
ATOMIC_POSITIONS crystal
Sr 0.5000 0.0000 0.0000
Tb 0.8284 0.6551 0.6567
Tb 0.1716 0.3449 0.3433
Dy 0.5000 0.5000 0.0000
Dy 0.8369 0.1816 0.6737
Dy 0.1631 0.8184 0.3263
Te 0.3275 0.9174 0.6551
Te 0.6642 0.5819 0.3285
Te 0.6725 0.0826 0.3449
Te 0.0031 0.2620 0.0062
Te 0.9969 0.7380 0.9938
Te 0.3358 0.4181 0.6715
! - Calculated density: 7.53 g cm⁻³
! - Space group: No. 12
! - Raw formation energy: -1.350 eV/atom
! - Calculated total energy: -4.98 eV per atom



(4)
! PBE K3DyBi2O6, relaxed; values from VASP
&SYSTEM
  ibrav = 0, nat = 12, ntyp = 4
/
ATOMIC_SPECIES
K 39.10 K.upf
Dy 162.50 Dy.upf
Bi 208.98 Bi.upf
O 16.00 O.upf
CELL_PARAMETERS angstrom
6.1951 -0.0008 0.0001
-3.0968 5.3656 0.0001
-1.0334 -1.7893 6.2874
ATOMIC_POSITIONS crystal
K 0.1683 0.8317 0.5000
K 0.8317 0.1683 0.5000
K 0.5000 0.5000 0.5000
Dy 0.0000 0.0000 0.0000
Bi 0.3335 0.6665 0.0000
Bi 0.6665 0.3335 0.0000
O 0.9345 0.6156 0.8038
O 0.7463 0.7463 0.1959
O 0.0655 0.3844 0.1962
O 0.6156 0.9345 0.8038
O 0.2537 0.2537 0.8041
O 0.3844 0.0655 0.1962
! - Calculated density: 6.31 g cm⁻³
! - Space group: No. 12
! - Raw formation energy: -1.811 eV/atom
! - Calculated total energy: -5.59 eV per atom



(5)
! PBE Nd2Sm6ErTm, relaxed; values from VASP
&SYSTEM
  ibrav = 0, nat = 20, ntyp = 4
/
ATOMIC_SPECIES
Nd 144.24 Nd.upf
Sm 150.36 Sm.upf
Er 167.26 Er.upf
Tm 168.93 Tm.upf
CELL_PARAMETERS angstrom
9.2915 -2.0756 -2.1540
0.7427 8.6293 -2.0490
0.7427 -2.3674 8.5474
ATOMIC_POSITIONS crystal
Nd 0.4578 0.8043 0.7015
Nd 0.0422 0.2985 0.1957
Nd 0.5422 0.1957 0.2985
Nd 0.9578 0.7015 0.8043
Sm 0.0558 0.1251 0.7525
Sm 0.4442 0.2475 0.8749
Sm 0.9442 0.8749 0.2475
Sm 0.5558 0.7525 0.1251
Sm 0.3105 0.9829 0.4252
Sm 0.1895 0.5748 0.0171
Sm 0.6895 0.0171 0.5748
Sm 0.8105 0.4252 0.9829
Sm 0.1193 0.7094 0.4994
Sm 0.3807 0.5006 0.2906
Sm 0.8807 0.2906 0.5006
Sm 0.6193 0.4994 0.7094
Er 0.2500 0.9803 0.0197
Er 0.7500 0.0197 0.9803
Tm 0.2500 0.4082 0.5918
Tm 0.7500 0.5918 0.4082
! - Calculated density: 7.52 g cm⁻³
! - Space group: No. 15
! - E_form: 116 meV per atom
! - Calculated total energy: -4.57 eV per atom



(6)
! PBE BaTlW, relaxed; values from VASP
&SYSTEM
  ibrav = 0, nat = 3, ntyp = 3
/
ATOMIC_SPECIES
Tl 204.38 Tl.upf
Ba 137.33 Ba.upf
W 183.84 W.upf
CELL_PARAMETERS angstrom
5.4308 0.0000 0.0000
2.7154 4.7032 0.0000
2.7154 1.5677 4.4342
ATOMIC_POSITIONS crystal
Tl 0.0000 0.0000 0.0000
Ba 0.7500 0.7500 0.7500
W 0.5000 0.5000 0.5000
! - Calculated density: 7.71 g cm⁻³
! - Space group: No. 216
! - E_form: 1833 meV per atom
! - Calculated total energy: -3.91 eV per atom



(7)
! PBE PrSm3Ho3, relaxed; values from VASP
&SYSTEM
  ibrav = 0, nat = 14, ntyp = 3
/
ATOMIC_SPECIES
Pr 140.91 Pr.upf
Sm 150.36 Sm.upf
Ho 164.93 Ho.upf
CELL_PARAMETERS angstrom
8.0450 0.7672 3.7014
2.6717 7.6271 3.7014
0.9795 0.7672 8.8013
ATOMIC_POSITIONS crystal
Pr 0.3471 0.3471 0.3471
Pr 0.6529 0.6529 0.6529
Sm 0.7226 0.5674 0.0680
Sm 0.0680 0.7226 0.5674
Sm 0.5674 0.0680 0.7226
Sm 0.4326 0.9320 0.2774
Sm 0.9320 0.2774 0.4326
Sm 0.2774 0.4326 0.9320
Ho 0.7149 0.1724 0.9368
Ho 0.1724 0.9368 0.7149
Ho 0.9368 0.7149 0.1724
Ho 0.0632 0.2851 0.8276
Ho 0.8276 0.0632 0.2851
Ho 0.2851 0.8276 0.0632
! - Calculated density: 7.49 g cm⁻³
! - Space group: No. 148
! - E_form: 203 meV per atom
! - Calculated total energy: -4.46 eV per atom



(8)
! PBE SiAgBr, relaxed; values from VASP
&SYSTEM
  ibrav = 0, nat = 3, ntyp = 3
/
ATOMIC_SPECIES
Ag 107.87 Ag.upf
Br 79.90 Br.upf
Si 28.09 Si.upf
CELL_PARAMETERS angstrom
-1.7556 -2.3644 -2.2801
3.5111 1.0159 -0.7151
1.8546 -4.2861 3.0165
ATOMIC_POSITIONS crystal
Ag 0.0000 0.0000 0.9580
Br 0.3333 0.6667 0.3403
Si 0.6667 0.3333 0.7018
! - Calculated density: 5.37 g cm⁻³
! - Space group: No. 156
! - Raw formation energy: 0.277 eV/atom
! - Calculated total energy: -3.04 eV per atom



(9)
! PBE ScCrCd2, relaxed; values from VASP
&SYSTEM
  ibrav = 0, nat = 4, ntyp = 3
/
ATOMIC_SPECIES
Cd 112.41 Cd.upf
Cr 52.00 Cr.upf
Sc 44.96 Sc.upf
CELL_PARAMETERS angstrom
-3.3556 -0.9955 -1.2598
1.1731 -3.0791 -0.6916
-0.4803 -5.0444 5.2654
ATOMIC_POSITIONS crystal
Cd 0.0000 0.9838 0.0159
Cd 0.0000 0.5162 0.4841
Cr 0.5000 0.2500 0.2500
Sc 0.5000 0.7500 0.7500
! - Calculated density: 6.58 g cm⁻³
! - Space group: No. 47
! - E_form: 102 meV per atom
! - Calculated total energy: -4.34 eV per atom



(10)
! PBE TbTm2Mn, relaxed; values from VASP
&SYSTEM
  ibrav = 0, nat = 4, ntyp = 3
/
ATOMIC_SPECIES
Tm 168.93 Tm.upf
Tb 158.93 Tb.upf
Mn 54.94 Mn.upf
CELL_PARAMETERS angstrom
-2.9834 0.0360 1.5591
-2.7431 -1.1332 -1.5886
0.0398 -10.6420 3.9560
ATOMIC_POSITIONS crystal
Tm 0.0816 0.0816 0.7551
Tm 0.9184 0.9184 0.2449
Tb 0.5000 0.5000 0.5000
Mn 0.0000 0.0000 0.0000
! - Calculated density: 8.35 g cm⁻³
! - Space group: No. 166
! - E_form: 508 meV per atom
! - Calculated total energy: -5.18 eV per atom



(11)
! PBE CsP2H3O6, relaxed; values from VASP
&SYSTEM
  ibrav = 0, nat = 24, ntyp = 4
/
ATOMIC_SPECIES
Cs 132.91 Cs.upf
P 30.97 P.upf
H 1.01 H.upf
O 16.00 O.upf
CELL_PARAMETERS angstrom
7.5666 0.0447 0.0101
-3.6918 6.7515 -0.0571
-3.4346 -1.5751 7.0567
ATOMIC_POSITIONS crystal
Cs 0.4597 0.7971 0.7691
Cs 0.5403 0.2029 0.2309
P 0.0472 0.0716 0.6422
P 0.9528 0.9284 0.3578
P 0.1501 0.5318 0.1351
P 0.8499 0.4682 0.8649
H 0.9620 0.7911 0.8167
H 0.0380 0.2089 0.1833
H 0.4162 0.2911 0.7596
H 0.5838 0.7089 0.2404
H 0.1147 0.7163 0.3223
H 0.8853 0.2837 0.6777
O 0.8499 0.0939 0.6232
O 0.1501 0.9061 0.3768
O 0.1153 0.9482 0.7833
O 0.8847 0.0518 0.2167
O 0.2642 0.2902 0.6957
O 0.7358 0.7098 0.3043
O 0.3601 0.7058 0.1356
O 0.6399 0.2942 0.8644
O 0.1610 0.3344 0.1497
O 0.8390 0.6656 0.8503
O 0.1001 0.5724 0.2967
O 0.8999 0.4276 0.7033
! - Calculated density: 2.70 g cm⁻³
! - Space group: No. 2
! - Calculated total energy: -6.02 eV per atom



(12)
! PBE Li2NiAgCl8, relaxed; values from VASP
&SYSTEM
  ibrav = 0, nat = 12, ntyp = 4
/
ATOMIC_SPECIES
Li 6.94 Li.upf
Ni 58.69 Ni.upf
Ag 107.87 Ag.upf
Cl 35.45 Cl.upf
CELL_PARAMETERS angstrom
-5.7619 2.7037 0.8477
-0.5047 -5.9626 2.0621
2.9172 0.6380 7.0117
ATOMIC_POSITIONS crystal
Li 0.5781 0.4201 0.7800
Li 0.4219 0.5799 0.2200
Ni 0.0000 0.0000 0.0000
Ag 0.0000 0.0000 0.5000
Cl 0.1744 0.8132 0.2311
Cl 0.6850 0.6895 0.9987
Cl 0.8649 0.1431 0.1857
Cl 0.8256 0.1868 0.7689
Cl 0.3150 0.3105 0.0013
Cl 0.1351 0.8569 0.8143
Cl 0.6827 0.6857 0.4995
Cl 0.3173 0.3143 0.5005
! - Calculated density: 2.67 g cm⁻³
! - Space group: No. 2
! - Raw formation energy: -0.800 eV/atom
! - Calculated total energy: -3.07 eV per atom